Record 1
A plane-wave DFT calculation with PBE-GGA was carried out for a relaxed BeRhPb2 crystal.

Cell lengths 4.037, 4.037, 9.890 Å; angles 90.00, 90.00, 90.00 degrees
Fractional positions:
Be 0.000 0.000 0.000
Be 0.500 0.500 0.500
Rh 0.000 0.500 0.250
Rh 0.500 0.000 0.750
Pb 0.000 0.000 0.500
Pb 0.000 0.500 0.750
Pb 0.500 0.000 0.250
Pb 0.500 0.500 0.000

Crystal system: tetragonal
M_tot in μB per atom: 0.0000
Formation energy from the elements in eV per atom: 0.4946
Symmetry: I-4m2
Raw total energy in eV/cell: -33.03
Density in g/cm³: 10.85



Record 2
A plane-wave DFT calculation with PBE-GGA was carried out for a relaxed Mg2Cd2Pb7 crystal.

Cell lengths 6.913, 6.913, 7.231 Å; angles 90.16, 90.16, 85.61 degrees
Fractional positions:
Mg 0.210 0.210 0.000
Mg 0.790 0.790 0.000
Cd 0.345 0.655 0.500
Cd 0.655 0.345 0.500
Pb 0.001 0.001 0.289
Pb 0.001 0.500 0.732
Pb 0.500 0.001 0.732
Pb 0.500 0.500 0.000
Pb 0.500 0.999 0.268
Pb 0.999 0.500 0.268
Pb 0.999 0.999 0.711

Crystal system: monoclinic
M_tot in μB per atom: 0.0000
Formation energy from the elements in eV per atom: 0.1315
Symmetry: C2/m
Raw total energy in eV/cell: -29.53
Density in g/cm³: 8.31



Record 3
A plane-wave DFT calculation with PBE-GGA was carried out for a relaxed TiV2CrH crystal.

Cell lengths 4.210, 4.210, 4.728 Å; angles 90.00, 90.00, 90.00 degrees
Fractional positions:
Ti 0.000 0.000 0.000
V 0.000 0.500 0.500
V 0.500 0.000 0.500
Cr 0.000 0.000 0.500
H 0.500 0.500 0.000

Crystal system: tetragonal
M_tot in μB per atom: 0.0167
Symmetry: P4/mmm
Raw total energy in eV/cell: -32.00
Density in g/cm³: 4.02



Record 4
A plane-wave DFT calculation with PBE-GGA was carried out for a relaxed KTaCoN3 crystal.

Cell lengths 7.378, 3.222, 8.299 Å; angles 90.00, 111.58, 90.00 degrees
Fractional positions:
K 0.217 0.250 0.229
K 0.783 0.750 0.771
Ta 0.329 0.750 0.875
Ta 0.671 0.250 0.125
Co 0.074 0.250 0.606
Co 0.926 0.750 0.394
N 0.145 0.250 0.851
N 0.173 0.750 0.569
N 0.465 0.750 0.127
N 0.535 0.250 0.873
N 0.827 0.250 0.431
N 0.855 0.750 0.149

Formation energy from raw total energies in eV/atom: -0.44
Crystal system: monoclinic
M_tot in μB per atom: 0.0000
Symmetry: P2_1/m
Raw total energy in eV/cell: -95.39
Density in g/cm³: 5.81